Entry 1:
A plane-wave DFT calculation with PBE was carried out for an optimized crystal structure of Ta2TlTc. Values from VASP.

```
&SYSTEM
  ibrav = 0, nat = 4, ntyp = 3
/
ATOMIC_SPECIES
Ta 180.95 Ta.upf
Tl 204.38 Tl.upf
Tc 98.00 Tc.upf
ATOMIC_POSITIONS angstrom
Ta 0.906 1.362 2.444
Ta 0.000 0.000 0.156
Tl 0.906 1.362 6.890
Tc 0.000 0.000 4.465
CELL_PARAMETERS angstrom
2.957 -0.002 0.000
-1.146 2.726 0.000
0.000 0.000 9.303
```

Calculated values
DOS(E_F) = 2.1 states/eV/cell
formation energy from the elements = 0.2617 eV/atom
M_tot = 0.0 μB per formula unit

---

Entry 2:
A plane-wave DFT calculation with PBE was carried out for an optimized crystal structure of Np2ZnGe2Rh5. Values from VASP.

```
&SYSTEM
  ibrav = 0, nat = 20, ntyp = 4
/
ATOMIC_SPECIES
Rh 102.91 Rh.upf
Np 237.00 Np.upf
Zn 65.41 Zn.upf
Ge 72.64 Ge.upf
ATOMIC_POSITIONS angstrom
Rh 1.754 9.265 2.011
Rh 1.754 7.836 9.265
Rh 1.754 6.935 4.342
Rh 1.754 2.011 0.582
Rh 1.754 0.582 7.836
Rh 1.754 5.506 6.935
Rh 1.754 2.913 5.506
Rh 1.754 4.924 0.000
Rh 1.754 4.342 2.913
Rh 1.754 0.000 4.924
Np 0.000 8.137 6.634
Np 0.000 3.213 8.137
Np 0.000 6.634 1.711
Np 0.000 1.711 3.213
Zn 0.000 4.924 4.924
Zn 0.000 0.000 0.000
Ge 0.000 3.668 1.255
Ge 0.000 1.255 6.179
Ge 0.000 6.179 8.592
Ge 0.000 8.592 3.668
CELL_PARAMETERS angstrom
3.509 0.000 0.000
0.000 9.847 0.000
0.000 0.000 9.847
```

Calculated values
DOS(E_F) = 46.8 states/eV/cell
formation energy from the elements = -0.3710 eV/atom
M_tot = 7.7 μB per formula unit

---

Entry 3:
A plane-wave DFT calculation with PBE was carried out for an optimized crystal structure of CaZr3Tl. Values from VASP.

```
&SYSTEM
  ibrav = 0, nat = 5, ntyp = 3
/
ATOMIC_SPECIES
Zr 91.22 Zr.upf
Tl 204.38 Tl.upf
Ca 40.08 Ca.upf
ATOMIC_POSITIONS angstrom
Zr -1.428 -1.269 1.705
Zr -2.108 1.112 -0.938
Zr 0.275 1.927 1.664
Tl -3.261 1.769 2.431
Ca 0.000 0.000 0.000
CELL_PARAMETERS angstrom
-4.215 2.223 -1.877
-2.857 -2.538 3.410
0.550 3.853 3.329
```

Calculated values
DOS(E_F) = 7.2 states/eV/cell
formation energy from the elements = 1.4898 eV/atom
M_tot = 1.4 μB per formula unit

---

Entry 4:
A plane-wave DFT calculation with PBE was carried out for an optimized crystal structure of Cu2Te. Values from VASP.

```
&SYSTEM
  ibrav = 0, nat = 6, ntyp = 2
/
ATOMIC_SPECIES
Te 127.60 Te.upf
Cu 63.55 Cu.upf
ATOMIC_POSITIONS angstrom
Te -1.097 -0.006 1.641
Te -3.291 -0.017 4.923
Cu -1.437 -3.304 -0.972
Cu -0.643 -0.404 4.317
Cu 0.437 -1.832 0.286
Cu -2.518 -1.876 3.059
CELL_PARAMETERS angstrom
0.879 0.118 5.337
-5.267 -0.141 1.227
2.307 -3.685 -3.219
```

Calculated values
DOS(E_F) = 2.2 states/eV/cell
uncorrected formation energy = 152.6 meV per atom
M_tot = 0.0 μB per formula unit

---

Entry 5:
A plane-wave DFT calculation with PBE was carried out for an optimized crystal structure of Hf2ScTi. Values from VASP.

```
&SYSTEM
  ibrav = 0, nat = 8, ntyp = 3
/
ATOMIC_SPECIES
Hf 178.49 Hf.upf
Ti 47.87 Ti.upf
Sc 44.96 Sc.upf
ATOMIC_POSITIONS angstrom
Hf 2.823 0.978 3.395
Hf 2.823 0.556 9.605
Hf 1.293 3.067 8.490
Hf 1.292 3.489 2.280
Ti 1.292 1.172 0.618
Ti 2.822 2.873 11.267
Sc 1.295 3.287 5.251
Sc 2.826 0.758 6.634
CELL_PARAMETERS angstrom
3.061 0.000 0.000
0.000 4.844 0.332
0.000 -0.799 11.553
```

Calculated values
DOS(E_F) = 10.0 states/eV/cell
formation energy from the elements = 0.0700 eV/atom
M_tot = 0.0 μB per formula unit

---

Entry 6:
A plane-wave DFT calculation with PBE was carried out for an optimized crystal structure of K2CdFe. Values from VASP.

```
&SYSTEM
  ibrav = 0, nat = 4, ntyp = 3
/
ATOMIC_SPECIES
Fe 55.84 Fe.upf
Cd 112.41 Cd.upf
K 39.10 K.upf
ATOMIC_POSITIONS angstrom
Fe 6.428 -3.117 -0.544
Cd 5.772 -1.247 1.328
K 8.957 -1.935 2.061
K 3.283 -2.438 -1.268
CELL_PARAMETERS angstrom
-0.712 -3.676 -0.356
0.880 0.184 -3.653
9.709 -2.098 2.234
```

Calculated values
DOS(E_F) = 5.5 states/eV/cell
formation energy from the elements = 0.5060 eV/atom
M_tot = 2.7 μB per formula unit